5
Lattice="5.006 0.000 0.000 0.000 4.276 0.000 0.000 0.000 5.006" Properties=species:S:1:pos:R:3 comment="PBE SnPPdRu2, optimized geometry" dos_at_fermi_per_ev_cell=6.7 formation_enthalpy_0k_ev_per_atom=1.22 space_group="No. 123" energy_ev_per_cell=-27.0 magnetic_moment_mub_per_fu=4.815 pbc="T T T"
Ru 2.503 0.000 0.000
Pd 0.000 0.000 0.000
Ru 0.000 0.000 2.503
P 0.000 2.138 0.000
Sn 2.503 2.138 2.503


14
Lattice="6.374 0.000 0.000 3.187 5.520 0.000 3.187 1.840 5.215" Properties=species:S:1:pos:R:3 comment="PBE NaTmSc4O8, optimized geometry" dos_at_fermi_per_ev_cell=0.0 formation_energy_uncorrected_mev_per_atom=-3274 space_group="No. 160" energy_ev_per_cell=-116.6 magnetic_moment_mub_per_fu=0.000 pbc="T T T"
O 8.067 2.702 3.718
Na 9.560 5.520 0.012
O 9.560 5.520 3.813
Sc 4.771 0.925 2.611
Sc 6.374 3.680 0.738
Tm 6.374 3.680 4.483
Sc 1.602 0.925 2.611
Sc 3.187 3.670 2.611
O 4.756 4.614 1.471
O 6.374 5.635 3.718
O 4.680 2.702 3.718
O 6.374 1.812 1.471
O 7.991 4.614 1.471
O 3.187 1.840 1.452


4
Lattice="-1.634 -5.010 0.969 3.572 -3.782 1.282 0.161 -1.953 4.986" Properties=species:S:1:pos:R:3 comment="PBE CeNdTmGa, optimized geometry" dos_at_fermi_per_ev_cell=9.3 formation_enthalpy_0k_ev_per_atom=-0.08 space_group="No. 216" energy_ev_per_cell=-18.5 magnetic_moment_mub_per_fu=0.901 pbc="T T T"
Ce 0.000 0.000 0.000
Nd 1.049 -5.372 3.618
Ga 0.525 -2.686 1.809
Tm 1.574 -8.058 5.428


20
Lattice="-1.460 -2.090 -2.459 -2.077 -1.457 2.472 -12.283 12.237 -3.109" Properties=species:S:1:pos:R:3 comment="PBE Fe4SiNi15, optimized geometry" dos_at_fermi_per_ev_cell=14.6 formation_energy_uncorrected_mev_per_atom=-152 space_group="No. 123" energy_ev_per_cell=-129.0 magnetic_moment_mub_per_fu=19.498 pbc="T T T"
Ni -6.872 5.073 -2.784
Fe -7.376 7.348 -1.867
Ni -9.336 7.529 -3.408
Si 0.000 0.000 0.000
Fe -4.907 4.888 -1.242
Ni -11.807 9.990 -4.033
Ni -4.715 2.935 0.305
Ni -4.407 2.618 -2.160
Ni -1.769 -1.774 0.007
Ni -12.116 10.307 -1.568
Ni -11.610 8.030 -2.484
Ni -9.645 7.845 -0.942
Ni -1.936 0.156 -1.535
Fe -9.840 9.803 -2.490
Fe -2.443 2.434 -0.618
Ni -9.143 5.573 -1.860
Ni -2.244 0.473 0.931
Ni -6.677 3.116 -1.236
Ni -7.180 5.390 -0.318
Ni -4.211 0.659 -0.611


9
Lattice="5.102 -0.255 -0.402 -2.283 4.570 0.402 -2.283 -1.587 4.304" Properties=species:S:1:pos:R:3 comment="PBE Hf2BeCo2B4, optimized geometry" dos_at_fermi_per_ev_cell=4.5 formation_enthalpy_0k_ev_per_atom=-0.13 space_group="No. 139" energy_ev_per_cell=-65.7 magnetic_moment_mub_per_fu=0.000 pbc="T T T"
B -2.283 0.160 3.197
Hf 0.268 2.903 1.177
Co -1.513 0.989 1.560
B 1.600 0.702 1.107
Hf 0.268 -0.175 3.128
Co -3.052 1.994 3.146
B -1.063 2.026 3.197
B -2.283 2.823 1.509
Be 0.000 0.000 0.000


10
Lattice="8.846 0.000 0.000 0.000 8.846 0.000 0.000 0.000 6.501" Properties=species:S:1:pos:R:3 comment="PBE Rb2Ca2Mn, optimized geometry" dos_at_fermi_per_ev_cell=12.8 formation_enthalpy_0k_ev_per_atom=0.83 de_polymorph_ev_per_atom=0.0602 space_group="No. 127" energy_ev_per_cell=-21.9 magnetic_moment_mub_per_fu=4.344 pbc="T T T"
Rb 5.664 1.241 0.000
Ca 6.000 7.269 3.250
Ca 1.577 6.000 3.250
Rb 7.605 5.664 0.000
Mn 0.000 0.000 0.000
Ca 7.269 2.846 3.250
Rb 3.182 7.605 0.000
Rb 1.241 3.182 0.000
Ca 2.846 1.577 3.250
Mn 4.423 4.423 0.000


9
Lattice="-1.495 -2.518 4.108 -2.480 -5.485 -1.169 8.073 -6.771 -1.210" Properties=species:S:1:pos:R:3 comment="PBE Pm2Pr4Sc3, optimized geometry" dos_at_fermi_per_ev_cell=13.3 formation_enthalpy_0k_ev_per_atom=0.05 space_group="No. 12" energy_ev_per_cell=-47.1 magnetic_moment_mub_per_fu=0.000 pbc="T T T"
Pr 3.830 -7.056 3.266
Pr 0.268 -7.718 -1.537
Pm -0.798 -6.858 1.700
Sc 2.310 -5.686 0.452
Pm 4.896 -7.916 0.028
Sc 1.788 -9.088 1.277
Pr 4.506 -11.349 0.880
Sc 0.000 0.000 0.000
Pr -0.408 -3.425 0.849


4
Lattice="5.943 0.000 0.000 2.971 5.146 0.000 2.971 1.715 4.852" Properties=species:S:1:pos:R:3 comment="PBE BaLa2Pb, optimized geometry" dos_at_fermi_per_ev_cell=5.3 formation_enthalpy_0k_ev_per_atom=-0.05 space_group="No. 216" energy_ev_per_cell=-15.7 magnetic_moment_mub_per_fu=3.062 pbc="T T T"
Ba 5.943 3.431 2.426
La 2.971 1.715 1.213
La 0.000 0.000 0.000
Pb 8.914 5.146 3.639


4
Lattice="0.148 -3.877 1.332 1.257 -0.809 3.820 -2.688 -1.307 2.809" Properties=species:S:1:pos:R:3 comment="PBE Be2TlCo, optimized geometry" dos_at_fermi_per_ev_cell=2.3 formation_enthalpy_0k_ev_per_atom=0.48 de_polymorph_ev_per_atom=0.2799 space_group="No. 225" energy_ev_per_cell=-15.0 magnetic_moment_mub_per_fu=0.000 pbc="T T T"
Be -0.321 -1.498 1.990
Be -0.962 -4.495 5.971
Tl -0.641 -2.997 3.981
Co 0.000 0.000 0.000